LiInWF6 | PBE with a Hubbard U | optimized geometry

Summary:
- Calculated total energy: -92.197 eV per cell
- Crystal system: trigonal

a b c (Å): 5.4571 5.4571 12.2028
angles (deg): 90.00 90.00 120.00
Each line ends with the local moment (μB).
Atoms (fractional coordinates):
Li 0.3333 0.6667 0.2500  0.00
Li 0.6667 0.3333 0.7500  0.00
In 0.0000 0.0000 0.0000  0.00
In 0.0000 0.0000 0.5000  0.00
W 0.6667 0.3333 0.2500  1.93
W 0.3333 0.6667 0.7500  1.93
F 0.6389 0.6252 0.1568  0.02
F 0.9863 0.3611 0.1568  0.02
F 0.3611 0.9863 0.6568  0.02
F 0.0137 0.6389 0.8432  0.02
F 0.3748 0.3611 0.3432  0.02
F 0.9863 0.6252 0.3432  0.02
F 0.6252 0.9863 0.8432  0.02
F 0.6389 0.0137 0.3432  0.02
F 0.0137 0.3748 0.6568  0.02
F 0.3748 0.0137 0.1568  0.02
F 0.6252 0.6389 0.6568  0.02
F 0.3611 0.3748 0.8432  0.02